Record 1
This record from the Alexandria database describes a relaxed VZnInCl6 crystal. The functional is PBE.

```
data_VZnInCl6
_chemical_formula_sum 'V1 Zn1 In1 Cl6'
_space_group_name_H-M_alt 'P 3 1 2'
_space_group_IT_number 149
_cell_length_a 6.3870
_cell_length_b 6.3870
_cell_length_c 6.9516
_cell_angle_alpha 90.00
_cell_angle_beta 90.00
_cell_angle_gamma 120.00
loop_
_space_group_symop_operation_xyz
'x,y,z'
'-y,x-y,z'
'-x+y,-x,z'
'-y,-x,-z'
'-x+y,y,-z'
'x,x-y,-z'
loop_
_atom_site_label
_atom_site_fract_x
_atom_site_fract_y
_atom_site_fract_z
_atom_site_occupancy
V1 0.0000 0.0000 0.0000 1
Zn1 0.3333 0.6667 0.0000 1
In1 0.6667 0.3333 0.5000 1
Cl1 0.0348 0.3224 0.1989 1
```

raw total energy = -3.7734 eV/atom
ΔE_f (raw) = -1.083 eV per atom
volume = 27.29 A^3/atom

***

Record 2
This record from the Alexandria database describes a relaxed InWCl crystal. The functional is PBE.

```
data_InWCl
_chemical_formula_sum 'In4 W4 Cl4'
_space_group_name_H-M_alt 'F -4 3 m'
_space_group_IT_number 216
_space_group_name_Hall 'F -4 2 3'
_cell_length_a 6.743
_cell_length_b 6.743
_cell_length_c 6.743
_cell_angle_alpha 90.00
_cell_angle_beta 90.00
_cell_angle_gamma 90.00
loop_
_atom_site_label
_atom_site_fract_x
_atom_site_fract_y
_atom_site_fract_z
_atom_site_occupancy
In1 0.000 0.000 0.000 1
W1 0.250 0.250 0.250 1
Cl1 0.000 0.000 0.500 1
```

polymorph energy (0 for the lowest one) = 1.039 eV per atom
raw total energy = -4.5350 eV/atom
ΔE_f (raw) = 1.311 eV per atom
volume = 25.55 A^3/atom

***

Record 3
This record from the Alexandria database describes a relaxed In2WCl crystal. The functional is PBE.

```
data_In2WCl
_chemical_formula_sum 'In4 W2 Cl2'
_space_group_name_H-M_alt 'C m m 2'
_space_group_IT_number 35
_cell_length_a 3.040
_cell_length_b 5.608
_cell_length_c 10.740
_cell_angle_alpha 90.00
_cell_angle_beta 90.00
_cell_angle_gamma 90.00
loop_
_space_group_symop_operation_xyz
'x,y,z'
'-x,-y,z'
'-x,y,z'
'x,-y,z'
'x+1/2,y+1/2,z'
'-x+1/2,-y+1/2,z'
'-x+1/2,y+1/2,z'
'x+1/2,-y+1/2,z'
loop_
_atom_site_label
_atom_site_fract_x
_atom_site_fract_y
_atom_site_fract_z
_atom_site_occupancy
In1 0.000 0.000 0.000 1
In2 0.000 0.500 0.265 1
W1 0.000 0.000 0.495 1
Cl1 0.000 0.500 0.671 1
```

polymorph energy (0 for the lowest one) = 0.111 eV per atom
raw total energy = -4.7565 eV/atom
ΔE_f (raw) = 0.313 eV per atom
volume = 22.89 A^3/atom

***

Record 4
This record from the Alexandria database describes a relaxed InWCl2 crystal. The functional is PBE.

```
data_InWCl2
_chemical_formula_sum 'In1 W1 Cl2'
_space_group_name_H-M_alt 'P 1 m 1'
_space_group_IT_number 6
_cell_length_a 3.074
_cell_length_b 4.599
_cell_length_c 6.368
_cell_angle_alpha 90.00
_cell_angle_beta 90.21
_cell_angle_gamma 90.00
loop_
_space_group_symop_operation_xyz
'x,y,z'
'x,-y,z'
loop_
_atom_site_label
_atom_site_fract_x
_atom_site_fract_y
_atom_site_fract_z
_atom_site_occupancy
In1 0.000 0.000 0.000 1
W1 0.502 0.500 0.267 1
Cl1 0.004 0.500 0.565 1
Cl2 0.503 0.000 0.391 1
```

polymorph energy (0 for the lowest one) = 0.197 eV per atom
raw total energy = -4.6954 eV/atom
ΔE_f (raw) = 0.151 eV per atom
volume = 22.50 A^3/atom

***

Record 5
This record from the Alexandria database describes a relaxed InWCl2 crystal. The functional is PBE.

```
data_InWCl2
_chemical_formula_sum 'In1 W1 Cl2'
_space_group_name_H-M_alt 'P 1 2/m 1'
_space_group_IT_number 10
_cell_length_a 3.003
_cell_length_b 4.081
_cell_length_c 6.838
_cell_angle_alpha 90.00
_cell_angle_beta 90.10
_cell_angle_gamma 90.00
loop_
_space_group_symop_operation_xyz
'x,y,z'
'-x,-y,-z'
'-x,y,-z'
'x,-y,z'
loop_
_atom_site_label
_atom_site_fract_x
_atom_site_fract_y
_atom_site_fract_z
_atom_site_occupancy
In1 0.000 0.000 0.000 1
W1 0.500 0.000 0.500 1
Cl1 0.499 0.500 0.293 1
```

polymorph energy (0 for the lowest one) = 0.295 eV per atom
raw total energy = -4.5965 eV/atom
ΔE_f (raw) = 0.250 eV per atom
volume = 20.95 A^3/atom

***

Record 6
This record from the Alexandria database describes a relaxed InWCl2 crystal. The functional is PBE.

```
data_InWCl2
_chemical_formula_sum 'In4 W4 Cl8'
_space_group_name_H-M_alt 'I -4 2 d'
_space_group_IT_number 122
_space_group_name_Hall 'I -4 2bw'
_cell_length_a 5.911
_cell_length_b 5.911
_cell_length_c 13.188
_cell_angle_alpha 90.00
_cell_angle_beta 90.00
_cell_angle_gamma 90.00
loop_
_atom_site_label
_atom_site_fract_x
_atom_site_fract_y
_atom_site_fract_z
_atom_site_occupancy
In1 0.000 0.000 0.000 1
W1 0.000 0.000 0.500 1
Cl1 0.120 0.250 0.625 1
```

polymorph energy (0 for the lowest one) = 0.685 eV per atom
raw total energy = -4.2072 eV/atom
ΔE_f (raw) = 0.639 eV per atom
volume = 28.79 A^3/atom

***

Record 7
This record from the Alexandria database describes a relaxed In2WCl crystal. The functional is PBE.

```
data_In2WCl
_chemical_formula_sum 'In2 W1 Cl1'
_space_group_name_H-M_alt 'P m m m'
_space_group_IT_number 47
_cell_length_a 2.996
_cell_length_b 5.263
_cell_length_c 5.428
_cell_angle_alpha 90.00
_cell_angle_beta 90.00
_cell_angle_gamma 90.00
loop_
_space_group_symop_operation_xyz
'x,y,z'
'-x,-y,-z'
'-x,-y,z'
'x,y,-z'
'x,-y,-z'
'-x,y,z'
'-x,y,-z'
'x,-y,z'
loop_
_atom_site_label
_atom_site_fract_x
_atom_site_fract_y
_atom_site_fract_z
_atom_site_occupancy
In1 0.000 0.000 0.000 1
In2 0.500 0.000 0.500 1
W1 0.000 0.500 0.500 1
Cl1 0.500 0.500 0.000 1
```

polymorph energy (0 for the lowest one) = 0.560 eV per atom
raw total energy = -4.3084 eV/atom
ΔE_f (raw) = 0.761 eV per atom
volume = 21.39 A^3/atom

***

Record 8
This record from the Alexandria database describes a relaxed InW2Cl crystal. The functional is PBE.

```
data_InW2Cl
_chemical_formula_sum 'In2 W4 Cl2'
_space_group_name_H-M_alt 'C m m m'
_space_group_IT_number 65
_space_group_name_Hall '-C 2 2'
_cell_length_a 5.484
_cell_length_b 9.625
_cell_length_c 2.795
_cell_angle_alpha 90.00
_cell_angle_beta 90.00
_cell_angle_gamma 90.00
loop_
_atom_site_label
_atom_site_fract_x
_atom_site_fract_y
_atom_site_fract_z
_atom_site_occupancy
In1 0.000 0.000 0.000 1
W1 0.250 0.250 0.500 1
Cl1 0.000 0.500 0.000 1
```

polymorph energy (0 for the lowest one) = 1.084 eV per atom
raw total energy = -6.3708 eV/atom
ΔE_f (raw) = 1.252 eV per atom
volume = 18.44 A^3/atom

***

Record 9
This record from the Alexandria database describes a relaxed InWCl crystal. The functional is PBE.

```
data_InWCl
_chemical_formula_sum 'In4 W4 Cl4'
_space_group_name_H-M_alt 'F -4 3 m'
_space_group_IT_number 216
_space_group_name_Hall 'F -4 2 3'
_cell_length_a 6.941
_cell_length_b 6.941
_cell_length_c 6.941
_cell_angle_alpha 90.00
_cell_angle_beta 90.00
_cell_angle_gamma 90.00
loop_
_atom_site_label
_atom_site_fract_x
_atom_site_fract_y
_atom_site_fract_z
_atom_site_occupancy
In1 0.000 0.000 0.000 1
W1 0.250 0.250 0.750 1
Cl1 0.250 0.250 0.250 1
```

polymorph energy (0 for the lowest one) = 1.358 eV per atom
raw total energy = -4.2159 eV/atom
ΔE_f (raw) = 1.630 eV per atom
volume = 27.87 A^3/atom

***

Record 10
This record from the Alexandria database describes a relaxed InWCl2 crystal. The functional is PBE.

```
data_InWCl2
_chemical_formula_sum 'In2 W2 Cl4'
_space_group_name_H-M_alt 'I -4 m 2'
_space_group_IT_number 119
_space_group_name_Hall 'I -4 -2'
_cell_length_a 4.088
_cell_length_b 4.088
_cell_length_c 12.077
_cell_angle_alpha 90.00
_cell_angle_beta 90.00
_cell_angle_gamma 90.00
loop_
_atom_site_label
_atom_site_fract_x
_atom_site_fract_y
_atom_site_fract_z
_atom_site_occupancy
In1 0.000 0.000 0.000 1
W1 0.000 0.500 0.750 1
Cl1 0.000 0.000 0.500 1
Cl2 0.000 0.500 0.250 1
```

polymorph energy (0 for the lowest one) = 0.867 eV per atom
raw total energy = -4.0250 eV/atom
ΔE_f (raw) = 0.821 eV per atom
volume = 25.22 A^3/atom

***

Record 11
This record from the Alexandria database describes a relaxed InWCl3 crystal. The functional is PBE.

```
data_InWCl3
_chemical_formula_sum 'In1 W1 Cl3'
_space_group_name_H-M_alt 'P m -3 m'
_space_group_IT_number 221
_space_group_name_Hall '-P 4 2 3'
_cell_length_a 5.270
_cell_length_b 5.270
_cell_length_c 5.270
_cell_angle_alpha 90.00
_cell_angle_beta 90.00
_cell_angle_gamma 90.00
loop_
_atom_site_label
_atom_site_fract_x
_atom_site_fract_y
_atom_site_fract_z
_atom_site_occupancy
In1 0.000 0.000 0.000 1
W1 0.500 0.500 0.500 1
Cl1 0.000 0.000 0.500 1
```

polymorph energy (0 for the lowest one) = 0.812 eV per atom
raw total energy = -3.5301 eV/atom
ΔE_f (raw) = 0.716 eV per atom
volume = 29.28 A^3/atom

***

Record 12
This record from the Alexandria database describes a relaxed InWCl2 crystal. The functional is PBE.

```
data_InWCl2
_chemical_formula_sum 'In1 W1 Cl2'
_space_group_name_H-M_alt 'P 4/m m m'
_space_group_IT_number 123
_space_group_name_Hall '-P 4 2'
_cell_length_a 5.359
_cell_length_b 5.359
_cell_length_c 3.181
_cell_angle_alpha 90.00
_cell_angle_beta 90.00
_cell_angle_gamma 90.00
loop_
_atom_site_label
_atom_site_fract_x
_atom_site_fract_y
_atom_site_fract_z
_atom_site_occupancy
In1 0.000 0.000 0.000 1
W1 0.500 0.500 0.000 1
Cl1 0.000 0.500 0.500 1
```

polymorph energy (0 for the lowest one) = 0.880 eV per atom
raw total energy = -4.0115 eV/atom
ΔE_f (raw) = 0.835 eV per atom
volume = 22.84 A^3/atom

***

> Look up the raw total energy of the eleventh one.

-3.5301 eV/atom